LaThPd2Pt2 | PBE | relaxed

The space group is P-3m1 (No. 164) and the conventional cell measures 4.5720, 4.5720 and 7.4547 Å, with angles of 90.00, 90.00 and 120.00 degrees. Symmetry generates all atoms from La at (0.0000, 0.0000, 0.0000), Th at (0.0000, 0.0000, 0.5000), Pd at (0.3333, 0.6667, 0.7227) and Pt at (0.3333, 0.6667, 0.2667).

As for the calculated density: 11.98 g/cm3. Its calculated formation energy is -0.909 eV/atom. The value obtained for the total energy is -6.711 eV/atom.